No. 1
# ZrSnSbI2

A relaxed structure of ZrSnSbI2 (PBE-GGA, Alexandria via LeMat-Bulk).

Cell lengths 5.7702, 5.7702, 5.8418 Å; angles 90.00, 90.00, 90.00 degrees
With the nearest neighbours (Å) after each atom.
Fractional positions:
Zr (0.5000, 0.5000, 0.5000)  4 Sb 4.08, 8 I 4.11
I (0.5000, 0.0000, 0.0000)  2 Sn 2.89
I (0.0000, 0.5000, 0.0000)  2 Sn 2.89
Sn (0.0000, 0.0000, 0.0000)  4 I 2.89, 2 Sb 2.92
Sb (0.0000, 0.0000, 0.5000)  2 Sn 2.92

Computed properties:
ρ	5.00	g cm⁻³


No. 2
# ZrSnSb2I

A relaxed structure of ZrSnSb2I (PBE-GGA, Alexandria via LeMat-Bulk).

Cell lengths 5.6418, 5.6418, 5.5994 Å; angles 90.00, 90.00, 90.00 degrees
With the nearest neighbours (Å) after each atom.
Fractional positions:
I (0.0000, 0.0000, 0.5000)  2 Zr 2.80
Sb (0.5000, 0.0000, 0.0000)  2 Zr 2.82
Sb (0.0000, 0.5000, 0.0000)  2 Zr 2.82
Sn (0.5000, 0.5000, 0.5000)  8 Sb 3.97, 4 I 3.99
Zr (0.0000, 0.0000, 0.0000)  2 I 2.80, 4 Sb 2.82

Computed properties:
ρ	5.41	g cm⁻³


No. 3
# Sr4Sb2I3

A relaxed structure of Sr4Sb2I3 (PBE-GGA, Alexandria via LeMat-Bulk).

Cell lengths 4.7422, 4.7422, 20.0745 Å; angles 90.03, 89.97, 120.00 degrees
With the nearest neighbours (Å) after each atom.
Fractional positions:
Sr (0.3334, 0.6666, 0.8829)  3 Sb 3.26, 3 I 3.61
Sr (0.0003, 0.9997, 0.6911)  3 I 3.29, 3 Sb 3.44
Sr (0.9997, 0.0003, 0.3089)  3 I 3.29, 3 Sb 3.44
Sr (0.6666, 0.3334, 0.1171)  3 Sb 3.26, 3 I 3.61
Sb (0.6669, 0.3331, 0.7949)  6 Sr 3.26-3.44
Sb (0.3331, 0.6669, 0.2051)  6 Sr 3.26-3.44
I (0.3338, 0.6662, 0.6002)  3 Sr 3.29
I (0.0000, 0.0000, 0.0000)  6 Sr 3.61
I (0.6662, 0.3338, 0.3998)  3 Sr 3.29

Computed properties:
ρ	4.14	g cm⁻³


The records above yield raw formation energy values of 0.734 0.185 -1.297 eV per atom, respectively.